A relaxed Mg2InPb crystal, computed with PBEsol.

The structure in CIF format:
```
data_Mg2InPb
_chemical_formula_sum 'Mg4 In2 Pb2'
_space_group_name_H-M_alt 'C 1 m 1'
_space_group_IT_number 8
_space_group_name_Hall 'C -2y'
_cell_length_a 11.124
_cell_length_b 3.334
_cell_length_c 5.301
_cell_angle_alpha 90.00
_cell_angle_beta 98.76
_cell_angle_gamma 90.00
loop_
_atom_site_label
_atom_site_fract_x
_atom_site_fract_y
_atom_site_fract_z
Mg1 0.000 0.000 0.000
Mg2 0.247 0.500 0.289
In1 0.494 0.000 0.489
Pb1 0.252 0.000 0.792
```

---

A relaxed Mg2InPb crystal, computed with PBEsol.

The structure in CIF format:
```
data_Mg2InPb
_chemical_formula_sum 'Mg2 In1 Pb1'
_space_group_name_H-M_alt 'P 4 m m'
_space_group_IT_number 99
_space_group_name_Hall 'P 4 -2'
_cell_length_a 3.894
_cell_length_b 3.894
_cell_length_c 6.497
_cell_angle_alpha 90.00
_cell_angle_beta 90.00
_cell_angle_gamma 90.00
loop_
_atom_site_label
_atom_site_fract_x
_atom_site_fract_y
_atom_site_fract_z
Mg1 0.000 0.000 0.000
Mg2 0.500 0.500 0.256
In1 0.500 0.500 0.776
Pb1 0.000 0.000 0.496
```

---

A relaxed MgIn2Pb crystal, computed with PBEsol.

The structure in CIF format:
```
data_MgIn2Pb
_chemical_formula_sum 'Mg2 In4 Pb2'
_space_group_name_H-M_alt 'I -4 m 2'
_space_group_IT_number 119
_space_group_name_Hall 'I -4 -2'
_cell_length_a 4.699
_cell_length_b 4.699
_cell_length_c 9.199
_cell_angle_alpha 90.00
_cell_angle_beta 90.00
_cell_angle_gamma 90.00
loop_
_atom_site_label
_atom_site_fract_x
_atom_site_fract_y
_atom_site_fract_z
Mg1 0.000 0.000 0.000
In1 0.000 0.000 0.500
In2 0.000 0.500 0.750
Pb1 0.000 0.500 0.250
```

---

A relaxed MgIn2Pb crystal, computed with PBEsol.

The structure in CIF format:
```
data_MgIn2Pb
_chemical_formula_sum 'Mg2 In4 Pb2'
_space_group_name_H-M_alt 'I m m m'
_space_group_IT_number 71
_space_group_name_Hall '-I 2 2'
_cell_length_a 3.654
_cell_length_b 5.298
_cell_length_c 10.550
_cell_angle_alpha 90.00
_cell_angle_beta 90.00
_cell_angle_gamma 90.00
loop_
_atom_site_label
_atom_site_fract_x
_atom_site_fract_y
_atom_site_fract_z
Mg1 0.000 0.000 0.000
In1 0.000 0.500 0.261
Pb1 0.000 0.000 0.500
```

---

A relaxed Mg2InPb crystal, computed with PBEsol.

The structure in CIF format:
```
data_Mg2InPb
_chemical_formula_sum 'Mg2 In1 Pb1'
_space_group_name_H-M_alt 'P m m 2'
_space_group_IT_number 25
_space_group_name_Hall 'P 2 -2'
_cell_length_a 3.312
_cell_length_b 5.391
_cell_length_c 5.406
_cell_angle_alpha 90.00
_cell_angle_beta 90.00
_cell_angle_gamma 90.00
loop_
_atom_site_label
_atom_site_fract_x
_atom_site_fract_y
_atom_site_fract_z
Mg1 0.000 0.000 0.000
Mg2 0.000 0.500 0.398
In1 0.500 0.500 0.907
Pb1 0.500 0.000 0.500
```

---

A relaxed Mg2InPb crystal, computed with PBEsol.

The structure in CIF format:
```
data_Mg2InPb
_chemical_formula_sum 'Mg4 In2 Pb2'
_space_group_name_H-M_alt 'I m m 2'
_space_group_IT_number 44
_space_group_name_Hall 'I 2 -2'
_cell_length_a 3.757
_cell_length_b 4.952
_cell_length_c 10.510
_cell_angle_alpha 90.00
_cell_angle_beta 90.00
_cell_angle_gamma 90.00
loop_
_atom_site_label
_atom_site_fract_x
_atom_site_fract_y
_atom_site_fract_z
Mg1 0.000 0.000 0.000
Mg2 0.000 0.500 0.249
In1 0.000 0.500 0.741
Pb1 0.000 0.000 0.497
```

---

A relaxed MgInPb crystal, computed with PBEsol.

The structure in CIF format:
```
data_MgInPb
_chemical_formula_sum 'Mg1 In1 Pb1'
_space_group_name_H-M_alt 'P 3 m 1'
_space_group_IT_number 156
_space_group_name_Hall 'P 3 -2"'
_cell_length_a 5.1593
_cell_length_b 5.1593
_cell_length_c 3.3736
_cell_angle_alpha 90.00
_cell_angle_beta 90.00
_cell_angle_gamma 120.00
loop_
_atom_site_label
_atom_site_fract_x
_atom_site_fract_y
_atom_site_fract_z
Mg1 0.0000 0.0000 0.0000
In1 0.6667 0.3333 0.2897
Pb1 0.3333 0.6667 0.6247
```

---

A relaxed MgIn2Pb crystal, computed with PBEsol.

The structure in CIF format:
```
data_MgIn2Pb
_chemical_formula_sum 'Mg4 In8 Pb4'
_space_group_name_H-M_alt 'F -4 3 m'
_space_group_IT_number 216
_space_group_name_Hall 'F -4 2 3'
_cell_length_a 7.446
_cell_length_b 7.446
_cell_length_c 7.446
_cell_angle_alpha 90.00
_cell_angle_beta 90.00
_cell_angle_gamma 90.00
loop_
_atom_site_label
_atom_site_fract_x
_atom_site_fract_y
_atom_site_fract_z
Mg1 0.000 0.000 0.000
In1 0.000 0.000 0.500
In2 0.250 0.250 0.750
Pb1 0.250 0.250 0.250
```

---

A relaxed MgIn2Pb crystal, computed with PBEsol.

The structure in CIF format:
```
data_MgIn2Pb
_chemical_formula_sum 'Mg1 In2 Pb1'
_space_group_name_H-M_alt 'P m m m'
_space_group_IT_number 47
_space_group_name_Hall '-P 2 2'
_cell_length_a 3.625
_cell_length_b 5.227
_cell_length_c 5.416
_cell_angle_alpha 90.00
_cell_angle_beta 90.00
_cell_angle_gamma 90.00
loop_
_atom_site_label
_atom_site_fract_x
_atom_site_fract_y
_atom_site_fract_z
Mg1 0.000 0.000 0.000
In1 0.000 0.500 0.500
In2 0.500 0.000 0.500
Pb1 0.500 0.500 0.000
```

---

A relaxed MgIn2Pb crystal, computed with PBEsol.

The structure in CIF format:
```
data_MgIn2Pb
_chemical_formula_sum 'Mg1 In2 Pb1'
_space_group_name_H-M_alt 'P 4/m m m'
_space_group_IT_number 123
_space_group_name_Hall '-P 4 2'
_cell_length_a 5.346
_cell_length_b 5.346
_cell_length_c 3.626
_cell_angle_alpha 90.00
_cell_angle_beta 90.00
_cell_angle_gamma 90.00
loop_
_atom_site_label
_atom_site_fract_x
_atom_site_fract_y
_atom_site_fract_z
Mg1 0.000 0.000 0.000
In1 0.000 0.500 0.500
Pb1 0.500 0.500 0.000
```

---

A relaxed MgIn2Pb crystal, computed with PBEsol.

The structure in CIF format:
```
data_MgIn2Pb
_chemical_formula_sum 'Mg1 In2 Pb1'
_space_group_name_H-M_alt 'P m m 2'
_space_group_IT_number 25
_space_group_name_Hall 'P 2 -2'
_cell_length_a 3.432
_cell_length_b 4.407
_cell_length_c 6.727
_cell_angle_alpha 90.00
_cell_angle_beta 90.00
_cell_angle_gamma 90.00
loop_
_atom_site_label
_atom_site_fract_x
_atom_site_fract_y
_atom_site_fract_z
Mg1 0.000 0.000 0.000
In1 0.000 0.000 0.522
In2 0.500 0.500 0.763
Pb1 0.500 0.500 0.251
```

---

A relaxed MgIn2Pb crystal, computed with PBEsol.

The structure in CIF format:
```
data_MgIn2Pb
_chemical_formula_sum 'Mg1 In2 Pb1'
_space_group_name_H-M_alt 'P 4 m m'
_space_group_IT_number 99
_space_group_name_Hall 'P 4 -2'
_cell_length_a 3.602
_cell_length_b 3.602
_cell_length_c 7.868
_cell_angle_alpha 90.00
_cell_angle_beta 90.00
_cell_angle_gamma 90.00
loop_
_atom_site_label
_atom_site_fract_x
_atom_site_fract_y
_atom_site_fract_z
Mg1 0.000 0.000 0.000
In1 0.000 0.000 0.530
In2 0.500 0.500 0.776
Pb1 0.500 0.500 0.249
```

---

A relaxed Mg2InPb crystal, computed with PBEsol.

The structure in CIF format:
```
data_Mg2InPb
_chemical_formula_sum 'Mg4 In2 Pb2'
_space_group_name_H-M_alt 'I m m m'
_space_group_IT_number 71
_space_group_name_Hall '-I 2 2'
_cell_length_a 3.674
_cell_length_b 5.532
_cell_length_c 9.770
_cell_angle_alpha 90.00
_cell_angle_beta 90.00
_cell_angle_gamma 90.00
loop_
_atom_site_label
_atom_site_fract_x
_atom_site_fract_y
_atom_site_fract_z
Mg1 0.000 0.000 0.245
In1 0.000 0.500 0.500
Pb1 0.000 0.500 0.000
```

---

A relaxed MgIn2Pb crystal, computed with PBEsol.

The structure in CIF format:
```
data_MgIn2Pb
_chemical_formula_sum 'Mg3 In6 Pb3'
_space_group_name_H-M_alt 'R -3 m'
_space_group_IT_number 166
_space_group_name_Hall '-R 3 2"'
_cell_length_a 3.3736
_cell_length_b 3.3736
_cell_length_c 31.3012
_cell_angle_alpha 90.00
_cell_angle_beta 90.00
_cell_angle_gamma 120.00
loop_
_atom_site_label
_atom_site_fract_x
_atom_site_fract_y
_atom_site_fract_z
Mg1 0.0000 0.0000 0.0000
In1 0.0000 0.0000 0.2555
Pb1 0.0000 0.0000 0.5000
```

---

A relaxed MgInPb crystal, computed with PBEsol.

The structure in CIF format:
```
data_MgInPb
_chemical_formula_sum 'Mg2 In2 Pb2'
_space_group_name_H-M_alt 'I m m 2'
_space_group_IT_number 44
_space_group_name_Hall 'I 2 -2'
_cell_length_a 3.423
_cell_length_b 4.429
_cell_length_c 10.108
_cell_angle_alpha 90.00
_cell_angle_beta 90.00
_cell_angle_gamma 90.00
loop_
_atom_site_label
_atom_site_fract_x
_atom_site_fract_y
_atom_site_fract_z
Mg1 0.000 0.000 0.000
In1 0.000 0.000 0.345
Pb1 0.000 0.000 0.669
```

---

A relaxed MgInPb crystal, computed with PBEsol.

The structure in CIF format:
```
data_MgInPb
_chemical_formula_sum 'Mg2 In2 Pb2'
_space_group_name_H-M_alt 'I 4 m m'
_space_group_IT_number 107
_space_group_name_Hall 'I 4 -2'
_cell_length_a 3.313
_cell_length_b 3.313
_cell_length_c 13.960
_cell_angle_alpha 90.00
_cell_angle_beta 90.00
_cell_angle_gamma 90.00
loop_
_atom_site_label
_atom_site_fract_x
_atom_site_fract_y
_atom_site_fract_z
Mg1 0.000 0.000 0.000
In1 0.000 0.000 0.348
Pb1 0.000 0.000 0.663
```

---

A relaxed Mg2InPb crystal, computed with PBEsol.

The structure in CIF format:
```
data_Mg2InPb
_chemical_formula_sum 'Mg2 In1 Pb1'
_space_group_name_H-M_alt 'P 4/m m m'
_space_group_IT_number 123
_space_group_name_Hall '-P 4 2'
_cell_length_a 3.357
_cell_length_b 3.357
_cell_length_c 8.485
_cell_angle_alpha 90.00
_cell_angle_beta 90.00
_cell_angle_gamma 90.00
loop_
_atom_site_label
_atom_site_fract_x
_atom_site_fract_y
_atom_site_fract_z
Mg1 0.000 0.000 0.240
In1 0.500 0.500 0.000
Pb1 0.500 0.500 0.500
```

---

A relaxed MgInPb crystal, computed with PBEsol.

The structure in CIF format:
```
data_MgInPb
_chemical_formula_sum 'Mg4 In4 Pb4'
_space_group_name_H-M_alt 'F m m 2'
_space_group_IT_number 42
_space_group_name_Hall 'F 2 -2'
_cell_length_a 3.700
_cell_length_b 5.482
_cell_length_c 15.394
_cell_angle_alpha 90.00
_cell_angle_beta 90.00
_cell_angle_gamma 90.00
loop_
_atom_site_label
_atom_site_fract_x
_atom_site_fract_y
_atom_site_fract_z
Mg1 0.000 0.000 0.000
In1 0.000 0.000 0.343
Pb1 0.000 0.000 0.665
```

---

A relaxed MgIn2Pb crystal, computed with PBEsol.

The structure in CIF format:
```
data_MgIn2Pb
_chemical_formula_sum 'Mg1 In2 Pb1'
_space_group_name_H-M_alt 'P 4 m m'
_space_group_IT_number 99
_space_group_name_Hall 'P 4 -2'
_cell_length_a 3.405
_cell_length_b 3.405
_cell_length_c 8.772
_cell_angle_alpha 90.00
_cell_angle_beta 90.00
_cell_angle_gamma 90.00
loop_
_atom_site_label
_atom_site_fract_x
_atom_site_fract_y
_atom_site_fract_z
Mg1 0.000 0.000 0.000
In1 0.000 0.000 0.481
In2 0.500 0.500 0.227
Pb1 0.500 0.500 0.755
```

---

A relaxed MgInPd2 crystal, computed with PBEsol.

The structure in CIF format:
```
data_MgInPd2
_chemical_formula_sum 'Mg4 In4 Pd8'
_space_group_name_H-M_alt 'F m -3 m'
_space_group_IT_number 225
_space_group_name_Hall '-F 4 2 3'
_cell_length_a 6.394
_cell_length_b 6.394
_cell_length_c 6.394
_cell_angle_alpha 90.00
_cell_angle_beta 90.00
_cell_angle_gamma 90.00
loop_
_atom_site_label
_atom_site_fract_x
_atom_site_fract_y
_atom_site_fract_z
Mg1 0.000 0.000 0.000
In1 0.000 0.000 0.500
Pd1 0.250 0.250 0.250
```

---

| no. | energy relative to the elements (eV/atom) |
| --- | --- |
| 1 | -0.075 |
| 2 | -0.025 |
| 3 | -0.034 |
| 4 | -0.017 |
| 5 | -0.078 |
| 6 | -0.046 |
| 7 | 0.003 |
| 8 | -0.007 |
| 9 | -0.011 |
| 10 | 0.007 |
| 11 | -0.037 |
| 12 | -0.025 |
| 13 | -0.022 |
| 14 | -0.028 |
| 15 | -0.043 |
| 16 | -0.038 |
| 17 | -0.097 |
| 18 | 0.004 |
| 19 | -0.039 |
| 20 | -0.677 |